Sm2Mg5Au4 | GGA-PBE | optimized geometry

abc: 5.8853 6.8569 7.7692
angles: 80.65 67.74 64.59
With the nearest neighbours (Å) after each atom.
Atoms (fractional coordinates):
Mg  0.7500  0.5000  0.5000  4 Au 2.64, 2 Mg 2.94
Mg  0.0000  0.5000  0.0000  2 Mg 2.94, 4 Au 3.00
Mg  0.5000  0.0000  0.0000  4 Au 2.57
Au  0.2334  0.2437  0.2896  3 Mg 2.57-2.64
Sm  0.1605  0.0000  0.6790  6 Au 3.18-3.31
Au  0.7666  0.7563  0.7104  3 Mg 2.57-2.64
Mg  0.2500  0.5000  0.5000  4 Au 2.64, 2 Mg 2.94
Sm  0.8395  0.0000  0.3210  6 Au 3.18-3.31
Au  0.4770  0.7563  0.2896  3 Mg 2.57-2.64
Au  0.5230  0.2437  0.7104  3 Mg 2.57-2.64
Mg  0.5000  0.5000  0.0000  2 Mg 2.94, 4 Au 3.00

## Properties
- DFT formation energy: -467.1 meV/atom
- Theoretical density: 7.667 g/cm3
- Total DFT energy (no corrections): -3.24 eV per atom